# ErMnFeC2 PBE relaxed
# - ΔH_f (0 K): -0.197 eV/atom
data_ErMnFeC2
_cell_length_a 3.4819
_cell_length_b 3.4819
_cell_length_c 9.4071
_cell_angle_alpha 90.00
_cell_angle_beta 90.00
_cell_angle_gamma 90.00
_symmetry_space_group_name_H-M 'I -4 m 2'
_symmetry_Int_Tables_number 119
_symmetry_space_group_name_Hall 'I -4 -2'
loop_
_atom_site_label
_atom_site_type_symbol
_atom_site_fract_x
_atom_site_fract_y
_atom_site_fract_z
_atom_site_occupancy
Er1 Er 0.0000 0.0000 0.0000 1
Mn1 Mn 0.0000 0.5000 0.2500 1
Fe1 Fe 0.0000 0.5000 0.7500 1
C1 C 0.0000 0.0000 0.3411 1